[1]
# Mg4AgHg7, relaxed, DFT PBE
data_Mg4AgHg7
_space_group_name_H-M_alt 'P 1'
_space_group_IT_number 1
_cell_length_a 6.6494
_cell_length_b 11.4774
_cell_length_c 8.8501
_cell_angle_alpha 46.10
_cell_angle_beta 51.81
_cell_angle_gamma 36.06
loop_
_space_group_symop_operation_xyz
'x,y,z'
loop_
_atom_site_label
_atom_site_fract_x
_atom_site_fract_y
_atom_site_fract_z
Mg1 0.5678 0.6238 0.2451
Mg2 0.4322 0.3762 0.7549
Mg3 0.6752 0.8681 0.7176
Mg4 0.3248 0.1319 0.2824
Ag1 0.0000 0.0000 0.0000
Hg1 0.7704 0.4822 0.9545
Hg2 0.2296 0.5178 0.0455
Hg3 0.0500 0.3059 0.5596
Hg4 0.9500 0.6941 0.4404
Hg5 0.3327 0.7679 0.5428
Hg6 0.5000 0.0000 0.0000
Hg7 0.6673 0.2321 0.4572
# Polymorph energy (0 for the lowest one) in meV per atom: 0
# Total magnetization in μB/atom: 0.000
# E in eV per atom: -1.027
# E_form in eV/atom: -0.082

=====

[2]
# MgAgHg2, relaxed, DFT PBE
data_MgAgHg2
_space_group_name_H-M_alt 'P 1'
_space_group_IT_number 1
_cell_length_a 5.2672
_cell_length_b 5.2672
_cell_length_c 5.2672
_cell_angle_alpha 130.18
_cell_angle_beta 130.18
_cell_angle_gamma 73.11
loop_
_space_group_symop_operation_xyz
'x,y,z'
loop_
_atom_site_label
_atom_site_fract_x
_atom_site_fract_y
_atom_site_fract_z
Mg1 0.5000 0.5000 0.0000
Hg1 0.0000 0.0000 0.0000
Hg2 0.2500 0.7500 0.5000
Ag1 0.7500 0.2500 0.5000
# Total magnetization in μB/atom: 0.000
# E in eV per atom: -1.329
# E_form in eV/atom: -0.067

=====

[3]
# Mg2AgHg5, relaxed, DFT PBE
data_Mg2AgHg5
_space_group_name_H-M_alt 'P 1'
_space_group_IT_number 1
_cell_length_a 4.4582
_cell_length_b 6.2057
_cell_length_c 12.7062
_cell_angle_alpha 90.00
_cell_angle_beta 90.00
_cell_angle_gamma 90.00
loop_
_space_group_symop_operation_xyz
'x,y,z'
loop_
_atom_site_label
_atom_site_fract_x
_atom_site_fract_y
_atom_site_fract_z
Mg1 0.5000 0.2668 0.3725
Mg2 0.5000 0.7332 0.6275
Mg3 0.5000 0.2332 0.8725
Mg4 0.5000 0.7668 0.1275
Ag1 0.0000 0.0000 0.5000
Ag2 0.0000 0.5000 0.0000
Hg1 0.5000 0.2695 0.1151
Hg2 0.5000 0.7305 0.8849
Hg3 0.5000 0.7695 0.3849
Hg4 0.5000 0.2305 0.6151
Hg5 0.0000 0.9742 0.7420
Hg6 0.0000 0.0258 0.2580
Hg7 0.0000 0.4742 0.7580
Hg8 0.0000 0.5258 0.2420
Hg9 0.0000 0.5000 0.5000
Hg10 0.0000 0.0000 0.0000
# Polymorph energy (0 for the lowest one) in meV per atom: 0
# Total magnetization in μB/atom: 0.000
# E in eV per atom: -1.018
# E_form in eV/atom: -0.074

=====

[4]
# MgAgHg2, relaxed, DFT PBE
data_MgAgHg2
_space_group_name_H-M_alt 'P 1'
_space_group_IT_number 1
_cell_length_a 4.8049
_cell_length_b 3.2970
_cell_length_c 5.2444
_cell_angle_alpha 89.99
_cell_angle_beta 90.00
_cell_angle_gamma 90.00
loop_
_space_group_symop_operation_xyz
'x,y,z'
loop_
_atom_site_label
_atom_site_fract_x
_atom_site_fract_y
_atom_site_fract_z
Mg1 0.0000 0.6260 0.4510
Hg1 0.0000 0.1245 0.9412
Hg2 0.5000 0.1252 0.3113
Ag1 0.5000 0.6243 0.7965
# Total magnetization in μB/atom: 0.000
# E in eV per atom: -1.347
# E_form in eV/atom: -0.085

=====

[5]
# Mg5AgHg3, relaxed, DFT PBE
data_Mg5AgHg3
_space_group_name_H-M_alt 'P 1'
_space_group_IT_number 1
_cell_length_a 6.0012
_cell_length_b 8.4968
_cell_length_c 8.4960
_cell_angle_alpha 120.00
_cell_angle_beta 90.00
_cell_angle_gamma 90.00
loop_
_space_group_symop_operation_xyz
'x,y,z'
loop_
_atom_site_label
_atom_site_fract_x
_atom_site_fract_y
_atom_site_fract_z
Mg1 0.0000 0.6667 0.3333
Mg2 0.5000 0.3333 0.6667
Mg3 0.0000 0.3333 0.6667
Mg4 0.5000 0.6667 0.3333
Mg5 0.7500 0.7082 0.7082
Mg6 0.7500 0.0000 0.2918
Mg7 0.7500 0.2918 0.0000
Mg8 0.2500 0.2918 0.2918
Mg9 0.2500 0.0000 0.7082
Mg10 0.2500 0.7082 0.0000
Ag1 0.0000 0.0000 0.0000
Ag2 0.5000 0.0000 0.0000
Hg1 0.7500 0.3698 0.3699
Hg2 0.7500 0.0000 0.6301
Hg3 0.7500 0.6301 0.0000
Hg4 0.2500 0.6302 0.6301
Hg5 0.2500 0.0000 0.3699
Hg6 0.2500 0.3699 0.0000
# Total magnetization in μB/atom: 0.000
# E in eV per atom: -1.517
# E_form in eV/atom: -0.214

=====

[6]
# MgAg8Hg2, relaxed, DFT PBE
data_MgAg8Hg2
_space_group_name_H-M_alt 'P 1'
_space_group_IT_number 1
_cell_length_a 4.3037
_cell_length_b 6.7282
_cell_length_c 7.7772
_cell_angle_alpha 107.14
_cell_angle_beta 106.06
_cell_angle_gamma 90.00
loop_
_space_group_symop_operation_xyz
'x,y,z'
loop_
_atom_site_label
_atom_site_fract_x
_atom_site_fract_y
_atom_site_fract_z
Mg1 0.5000 0.0000 0.0000
Ag1 0.5875 0.4507 0.1750
Ag2 0.3217 0.0885 0.6434
Ag3 0.1333 0.1780 0.2666
Ag4 0.0436 0.7299 0.0872
Ag5 0.8667 0.8220 0.7334
Ag6 0.6783 0.9115 0.3566
Ag7 0.4125 0.5493 0.8250
Ag8 0.9564 0.2701 0.9128
Hg1 0.2247 0.6449 0.4494
Hg2 0.7753 0.3551 0.5506
# Polymorph energy (0 for the lowest one) in meV per atom: 0
# Total magnetization in μB/atom: 0.000
# E in eV per atom: -2.296
# E_form in eV/atom: -0.023

=====

[7]
# MgAgHg3, relaxed, DFT PBE
data_MgAgHg3
_space_group_name_H-M_alt 'P 1'
_space_group_IT_number 1
_cell_length_a 6.1366
_cell_length_b 9.6962
_cell_length_c 7.9126
_cell_angle_alpha 109.74
_cell_angle_beta 90.00
_cell_angle_gamma 90.00
loop_
_space_group_symop_operation_xyz
'x,y,z'
loop_
_atom_site_label
_atom_site_fract_x
_atom_site_fract_y
_atom_site_fract_z
Mg1 0.2792 0.4452 0.8361
Mg2 0.7208 0.5548 0.1639
Mg3 0.7792 0.0548 0.1639
Mg4 0.2208 0.9452 0.8361
Ag1 0.8819 0.6372 0.5368
Ag2 0.1181 0.3628 0.4632
Ag3 0.3819 0.8628 0.4632
Ag4 0.6181 0.1372 0.5368
Hg1 0.9321 0.7419 0.9490
Hg2 0.0679 0.2581 0.0510
Hg3 0.4321 0.7581 0.0510
Hg4 0.5679 0.2419 0.9490
Hg5 0.7838 0.4354 0.7604
Hg6 0.2162 0.5646 0.2396
Hg7 0.2838 0.0646 0.2396
Hg8 0.7162 0.9354 0.7604
Hg9 0.1137 0.1405 0.6347
Hg10 0.8863 0.8595 0.3653
Hg11 0.6137 0.3595 0.3653
Hg12 0.3863 0.6405 0.6347
# Polymorph energy (0 for the lowest one) in meV per atom: 0
# Total magnetization in μB/atom: 0.000
# E in eV per atom: -1.103
# E_form in eV/atom: -0.032

=====

[8]
# MgAgHg2, relaxed, DFT PBE
data_MgAgHg2
_space_group_name_H-M_alt 'P 1'
_space_group_IT_number 1
_cell_length_a 4.0784
_cell_length_b 4.0784
_cell_length_c 7.1072
_cell_angle_alpha 73.33
_cell_angle_beta 73.33
_cell_angle_gamma 60.00
loop_
_space_group_symop_operation_xyz
'x,y,z'
loop_
_atom_site_label
_atom_site_fract_x
_atom_site_fract_y
_atom_site_fract_z
Mg1 0.6665 0.6665 0.0004
Ag1 0.5003 0.5003 0.4991
Hg1 0.0822 0.0822 0.7534
Hg2 0.2510 0.2510 0.2471
# Total magnetization in μB/atom: 0.000
# E in eV per atom: -1.224
# E_form in eV/atom: 0.038

=====

[9]
# Mg2AgHg, relaxed, DFT PBE
data_Mg2AgHg
_space_group_name_H-M_alt 'P 1'
_space_group_IT_number 1
_cell_length_a 7.6534
_cell_length_b 7.6534
_cell_length_c 6.2174
_cell_angle_alpha 52.01
_cell_angle_beta 52.01
_cell_angle_gamma 90.00
loop_
_space_group_symop_operation_xyz
'x,y,z'
loop_
_atom_site_label
_atom_site_fract_x
_atom_site_fract_y
_atom_site_fract_z
Mg1 0.6164 0.1250 0.2500
Mg2 0.1336 0.6250 0.2500
Mg3 0.3750 0.3836 0.7500
Mg4 0.8750 0.8664 0.7500
Hg1 0.0000 0.0000 0.0000
Hg2 0.7500 0.2500 0.5000
Ag1 0.5000 0.5000 0.0000
Ag2 0.2500 0.7500 0.5000
# Total magnetization in μB/atom: 0.000
# E in eV per atom: -1.566
# E_form in eV/atom: 0.020

=====

[10]
# MgAg4Hg2, relaxed, DFT PBE
data_MgAg4Hg2
_space_group_name_H-M_alt 'P 1'
_space_group_IT_number 1
_cell_length_a 5.2619
_cell_length_b 8.3708
_cell_length_c 9.8013
_cell_angle_alpha 128.75
_cell_angle_beta 94.77
_cell_angle_gamma 114.12
loop_
_space_group_symop_operation_xyz
'x,y,z'
loop_
_atom_site_label
_atom_site_fract_x
_atom_site_fract_y
_atom_site_fract_z
Mg1 0.0881 0.7294 0.3910
Mg2 0.9521 0.8826 0.9685
Ag1 0.0868 0.2278 0.3880
Ag2 0.3674 0.4389 0.2465
Ag3 0.8077 0.5271 0.5399
Ag4 0.9577 0.3808 0.9703
Ag5 0.3644 0.9444 0.2489
Ag6 0.2265 0.0856 0.8213
Ag7 0.5139 0.7999 0.6749
Ag8 0.6662 0.6579 0.1064
Hg1 0.5205 0.3036 0.6795
Hg2 0.7857 0.9949 0.5218
Hg3 0.6716 0.1768 0.1162
Hg4 0.2413 0.6000 0.8268
# Total magnetization in μB/atom: 0.000
# E in eV per atom: -1.986
# E_form in eV/atom: -0.043

=====

[11]
# MgAgHg2, relaxed, DFT PBE
data_MgAgHg2
_space_group_name_H-M_alt 'P 1'
_space_group_IT_number 1
_cell_length_a 3.1404
_cell_length_b 3.1405
_cell_length_c 8.7421
_cell_angle_alpha 90.00
_cell_angle_beta 90.00
_cell_angle_gamma 90.03
loop_
_space_group_symop_operation_xyz
'x,y,z'
loop_
_atom_site_label
_atom_site_fract_x
_atom_site_fract_y
_atom_site_fract_z
Mg1 0.0000 0.0000 0.5216
Hg1 0.0000 0.0000 0.9765
Hg2 0.5000 0.5000 0.2723
Ag1 0.5000 0.5000 0.7296
# Total magnetization in μB/atom: 0.000
# E in eV per atom: -1.305
# E_form in eV/atom: -0.043

=====

[12]
# Mg6AgHg12, relaxed, DFT PBE
data_Mg6AgHg12
_space_group_name_H-M_alt 'P 1'
_space_group_IT_number 1
_cell_length_a 7.5617
_cell_length_b 7.5617
_cell_length_c 7.5617
_cell_angle_alpha 92.46
_cell_angle_beta 92.46
_cell_angle_gamma 92.46
loop_
_space_group_symop_operation_xyz
'x,y,z'
loop_
_atom_site_label
_atom_site_fract_x
_atom_site_fract_y
_atom_site_fract_z
Mg1 0.7168 0.8791 0.2662
Mg2 0.7338 0.2832 0.1209
Mg3 0.1209 0.7338 0.2832
Mg4 0.2832 0.1209 0.7338
Mg5 0.2662 0.7168 0.8791
Mg6 0.8791 0.2662 0.7168
Ag1 0.0000 0.0000 0.0000
Hg1 0.8004 0.5412 0.4447
Hg2 0.4447 0.8004 0.5412
Hg3 0.5412 0.4447 0.8004
Hg4 0.1996 0.4588 0.5553
Hg5 0.5553 0.1996 0.4588
Hg6 0.4588 0.5553 0.1996
Hg7 0.0178 0.1402 0.3674
Hg8 0.8598 0.6326 0.9822
Hg9 0.6326 0.9822 0.8598
Hg10 0.9822 0.8598 0.6326
Hg11 0.1402 0.3674 0.0178
Hg12 0.3674 0.0178 0.1402
# Polymorph energy (0 for the lowest one) in meV per atom: 0
# Total magnetization in μB/atom: 0.000
# E in eV per atom: -0.947
# E_form in eV/atom: -0.102

=====

- The lowest E_form belongs to which entry?
  Mg5AgHg3

=====

What did the seventh record say?
# MgAgHg3, relaxed, DFT PBE
data_MgAgHg3
_space_group_name_H-M_alt 'P 1'
_space_group_IT_number 1
_cell_length_a 6.1366
_cell_length_b 9.6962
_cell_length_c 7.9126
_cell_angle_alpha 109.74
_cell_angle_beta 90.00
_cell_angle_gamma 90.00
loop_
_space_group_symop_operation_xyz
'x,y,z'
loop_
_atom_site_label
_atom_site_fract_x
_atom_site_fract_y
_atom_site_fract_z
Mg1 0.2792 0.4452 0.8361
Mg2 0.7208 0.5548 0.1639
Mg3 0.7792 0.0548 0.1639
Mg4 0.2208 0.9452 0.8361
Ag1 0.8819 0.6372 0.5368
Ag2 0.1181 0.3628 0.4632
Ag3 0.3819 0.8628 0.4632
Ag4 0.6181 0.1372 0.5368
Hg1 0.9321 0.7419 0.9490
Hg2 0.0679 0.2581 0.0510
Hg3 0.4321 0.7581 0.0510
Hg4 0.5679 0.2419 0.9490
Hg5 0.7838 0.4354 0.7604
Hg6 0.2162 0.5646 0.2396
Hg7 0.2838 0.0646 0.2396
Hg8 0.7162 0.9354 0.7604
Hg9 0.1137 0.1405 0.6347
Hg10 0.8863 0.8595 0.3653
Hg11 0.6137 0.3595 0.3653
Hg12 0.3863 0.6405 0.6347
# Polymorph energy (0 for the lowest one) in meV per atom: 0
# Total magnetization in μB/atom: 0.000
# E in eV per atom: -1.103
# E_form in eV/atom: -0.032

=====

- What is the E in the fourth record?
  -1.347 eV per atom